Entry 1:
VASP calculation (PBE) on a relaxed Cu2HgIr crystal.

Cell lengths 8.7991, 2.9294, 4.8443 Å; angles 90.00, 101.23, 90.00 degrees
Last column: nearest neighbours and their distance in Å.
Space group C2/m (No. 12)
Unique sites:
Cu  0.2430  0.0000  0.2155  2 Cu 2.57, 3 Ir 2.63-2.67, 3 Hg 2.76-2.82
Hg  0.0000  0.0000  0.5000  6 Cu 2.76-2.82, 4 Ir 2.83, 2 Hg 2.93
Ir  0.0000  0.5000  0.0000  6 Cu 2.63-2.67, 4 Hg 2.83, 2 Ir 2.93

Results
crystal system	monoclinic
energy relative to the lowest polymorph listed for this composition	0.042	eV per atom
total magnetization	0.00	μB per formula unit
formation energy from the elements	0.281	eV/atom

---

Entry 2:
VASP calculation (PBE) on a relaxed CuHg2Ir crystal.

Cell lengths 4.0213, 4.0213, 18.9780 Å; angles 90.00, 90.00, 90.00 degrees
Last column: nearest neighbours and their distance in Å.
Space group I-42d (No. 122)
Unique sites:
Cu  0.0000  0.0000  0.0000  4 Hg 2.77, 4 Ir 2.84
Hg  0.2502  0.2500  0.1250  2 Ir 2.77, 2 Cu 2.77, 4 Hg 2.84
Ir  0.0000  0.0000  0.5000  4 Hg 2.77, 4 Cu 2.84

Results
crystal system	tetragonal
energy relative to the lowest polymorph listed for this composition	0.304	eV per atom
total magnetization	0.00	μB per formula unit
formation energy from the elements	0.644	eV/atom

---

Q: The lowest formation energy from the elements belongs to which entry?
A: Cu2HgIr

---

Q: What is the formula in the first record?
A: Cu2HgIr

---

Q: Look up the energy relative to the lowest polymorph listed for this composition of the second one.
A: 0.304 eV per atom